! PBE-GGA TlHN2, optimized geometry; values from VASP
! **Mass density**: 7.9 g/cm3
! **Energy above the most stable polymorph in this dataset**: 643 meV per atom
! **Magnetic moment**: 0.00 μB/cell
! **Space group**: No. 166
&SYSTEM
  ibrav = 0, nat = 4, ntyp = 3
/
ATOMIC_SPECIES
N 14.01 N.upf
Tl 204.38 Tl.upf
H 1.01 H.upf
CELL_PARAMETERS angstrom
-3.6528 -2.7826 4.2538
-4.2826 -4.2583 1.6453
-1.8044 -5.0197 3.2754
ATOMIC_POSITIONS crystal
N 0.1503 0.1503 0.1503
Tl 0.0000 0.0000 0.0000
H 0.5000 0.5000 0.5000
N 0.8497 0.8497 0.8497

***

! PBE-GGA Tl2HN2, optimized geometry; values from VASP
! **Mass density**: 10.3 g/cm3
! **Energy above the most stable polymorph in this dataset**: 1083 meV per atom
! **Magnetic moment**: 2.36 μB/cell
! **Space group**: No. 127
&SYSTEM
  ibrav = 0, nat = 10, ntyp = 3
/
ATOMIC_SPECIES
Tl 204.38 Tl.upf
H 1.01 H.upf
N 14.01 N.upf
CELL_PARAMETERS angstrom
-5.0825 3.5136 2.3517
-4.2216 -4.4205 -2.5191
0.1142 -1.6806 2.7578
ATOMIC_POSITIONS crystal
Tl 0.8288 0.6712 0.0000
Tl 0.1712 0.3288 0.0000
Tl 0.6712 0.1712 0.0000
H 0.5000 0.5000 0.0000
H 0.0000 0.0000 0.0000
N 0.8559 0.3559 0.5000
N 0.3559 0.1441 0.5000
Tl 0.3288 0.8288 0.0000
N 0.6441 0.8559 0.5000
N 0.1441 0.6441 0.5000

***

! PBE-GGA TlHN, optimized geometry; values from VASP
! **Mass density**: 4.5 g/cm3
! **Magnetic moment**: 0.00 μB/cell
! **Space group**: No. 1
! **Total DFT energy (no corrections)**: -4.5556 eV/atom
&SYSTEM
  ibrav = 0, nat = 6, ntyp = 3
/
ATOMIC_SPECIES
N 14.01 N.upf
Tl 204.38 Tl.upf
H 1.01 H.upf
CELL_PARAMETERS angstrom
2.8842 -1.4331 -0.9082
-0.2896 3.4718 0.5371
-0.8863 0.9330 17.4024
ATOMIC_POSITIONS crystal
N 0.9983 0.2334 0.9197
Tl 0.4209 0.1053 0.1650
Tl 0.6417 0.8468 0.6058
H 0.0255 0.4817 0.3632
N 0.9006 0.3893 0.8592
H 0.0702 0.4242 0.4083

***

! PBE-GGA TlHN2, optimized geometry; values from VASP
! **Mass density**: 8.7 g/cm3
! **Energy above the most stable polymorph in this dataset**: 1006 meV per atom
! **Magnetic moment**: 2.01 μB/cell
! **Space group**: No. 225
&SYSTEM
  ibrav = 0, nat = 4, ntyp = 3
/
ATOMIC_SPECIES
N 14.01 N.upf
Tl 204.38 Tl.upf
H 1.01 H.upf
CELL_PARAMETERS angstrom
0.0000 2.8091 2.8091
2.8091 0.0000 2.8091
2.8091 2.8091 0.0000
ATOMIC_POSITIONS crystal
N 0.7500 0.7500 0.7500
Tl 0.5000 0.5000 0.5000
N 0.2500 0.2500 0.2500
H 0.0000 0.0000 0.0000

***

! PBE-GGA Tl2H6N3, optimized geometry; values from VASP
! **Mass density**: 5.5 g/cm3
! **Magnetic moment**: 0.00 μB/cell
! **Space group**: No. 15
! **Total DFT energy (no corrections)**: -4.5751 eV/atom
&SYSTEM
  ibrav = 0, nat = 22, ntyp = 3
/
ATOMIC_SPECIES
H 1.01 H.upf
Tl 204.38 Tl.upf
N 14.01 N.upf
CELL_PARAMETERS angstrom
7.4650 0.0000 2.0824
3.4424 6.6511 2.0812
2.2445 1.3896 6.3752
ATOMIC_POSITIONS crystal
H 0.7471 0.6844 0.6111
H 0.1877 0.9567 0.6053
Tl 0.6503 0.1489 0.0522
H 0.3144 0.2507 0.8918
H 0.4569 0.2493 0.6082
H 0.2503 0.4567 0.1053
H 0.0426 0.8156 0.8889
N 0.2511 0.3037 0.2485
N 0.6966 0.7500 0.2500
H 0.8123 0.0433 0.3947
N 0.8033 0.1963 0.2515
H 0.9574 0.1844 0.1111
Tl 0.8513 0.3511 0.4478
N 0.1967 0.8037 0.7485
H 0.5431 0.7507 0.3918
H 0.7497 0.5433 0.8947
N 0.7489 0.6963 0.7515
H 0.6856 0.7493 0.1082
N 0.3034 0.2500 0.7500
Tl 0.3497 0.8511 0.9478
H 0.2529 0.3156 0.3889
Tl 0.1487 0.6489 0.5522

***

! PBE-GGA TlHN2, optimized geometry; values from VASP
! **Mass density**: 7.6 g/cm3
! **Energy above the most stable polymorph in this dataset**: 0 meV per atom
! **Magnetic moment**: 0.00 μB/cell
! **Space group**: No. 166
&SYSTEM
  ibrav = 0, nat = 4, ntyp = 3
/
ATOMIC_SPECIES
N 14.01 N.upf
H 1.01 H.upf
Tl 204.38 Tl.upf
CELL_PARAMETERS angstrom
2.0660 0.0000 4.6092
-1.0330 1.7892 4.6092
-1.0330 -1.7892 4.6092
ATOMIC_POSITIONS crystal
N 0.0893 0.0893 0.0893
N 0.9107 0.9107 0.9107
H 0.0000 0.0000 0.0000
Tl 0.5000 0.5000 0.5000

***

! PBE-GGA Tl3HN, optimized geometry; values from VASP
! **Mass density**: 7.8 g/cm3
! **Energy above the most stable polymorph in this dataset**: 0 meV per atom
! **Magnetic moment**: 0.51 μB/cell
! **Space group**: No. 221
&SYSTEM
  ibrav = 0, nat = 5, ntyp = 3
/
ATOMIC_SPECIES
N 14.01 N.upf
Tl 204.38 Tl.upf
H 1.01 H.upf
CELL_PARAMETERS angstrom
-2.4336 -2.9818 3.3541
2.8132 -3.9864 -1.5027
3.4967 1.1319 3.5433
ATOMIC_POSITIONS crystal
N 0.0000 0.0000 0.0000
Tl 0.0000 0.0000 0.5000
H 0.5000 0.5000 0.5000
Tl 0.5000 0.0000 0.0000
Tl 0.0000 0.5000 0.0000

***

! PBE-GGA ZrTl2HN, optimized geometry; values from VASP
! **Mass density**: 5.9 g/cm3
! **Magnetic moment**: 0.00 μB/cell
! **Space group**: No. 123
! **Total DFT energy (no corrections)**: -4.3643 eV/atom
&SYSTEM
  ibrav = 0, nat = 5, ntyp = 4
/
ATOMIC_SPECIES
Tl 204.38 Tl.upf
N 14.01 N.upf
H 1.01 H.upf
Zr 91.22 Zr.upf
CELL_PARAMETERS angstrom
5.9812 0.0000 0.0000
0.0000 4.0848 0.0000
0.0000 0.0000 5.9812
ATOMIC_POSITIONS crystal
Tl 0.0000 0.0000 0.5000
Tl 0.5000 0.0000 0.0000
N 0.0000 0.5000 0.0000
H 0.5000 0.5000 0.5000
Zr 0.0000 0.0000 0.0000

***

! PBE-GGA TmHN, optimized geometry; values from VASP
! **Mass density**: 7.6 g/cm3
! **Magnetic moment**: 0.00 μB/cell
! **Space group**: No. 64
! **Total DFT energy (no corrections)**: -5.8730 eV/atom
&SYSTEM
  ibrav = 0, nat = 12, ntyp = 3
/
ATOMIC_SPECIES
N 14.01 N.upf
Tm 168.93 Tm.upf
H 1.01 H.upf
CELL_PARAMETERS angstrom
-1.7748 -2.5823 2.9915
-2.8375 -1.3896 -2.9639
5.3903 -6.2748 -2.2185
ATOMIC_POSITIONS crystal
N 0.2499 0.7501 0.5000
Tm 0.2572 0.2572 0.0779
N 0.2501 0.7499 0.0000
H 0.6266 0.6266 0.1749
H 0.3734 0.3734 0.8251
Tm 0.7428 0.7428 0.9221
N 0.7501 0.2499 0.5000
N 0.7499 0.2501 0.0000
Tm 0.7572 0.7572 0.4221
H 0.8734 0.8734 0.6749
Tm 0.2428 0.2428 0.5779
H 0.1266 0.1266 0.3251

***

! PBE-GGA Tm2H3N, optimized geometry; values from VASP
! **Mass density**: 8.4 g/cm3
! **Magnetic moment**: 0.00 μB/cell
! **Space group**: No. 224
! **Total DFT energy (no corrections)**: -5.4105 eV/atom
&SYSTEM
  ibrav = 0, nat = 12, ntyp = 3
/
ATOMIC_SPECIES
H 1.01 H.upf
N 14.01 N.upf
Tm 168.93 Tm.upf
CELL_PARAMETERS angstrom
-0.9148 4.7481 -1.9199
-5.0872 -0.6176 0.8979
0.5910 2.0355 4.7513
ATOMIC_POSITIONS crystal
H 0.7499 0.7499 0.7499
N 0.2500 0.2500 0.7500
H 0.2501 0.7499 0.7499
H 0.2501 0.7499 0.2501
H 0.2501 0.2501 0.2501
Tm 0.5000 0.0000 0.5000
N 0.7500 0.7500 0.2500
Tm 0.0000 0.5000 0.5000
H 0.7499 0.2501 0.2501
H 0.7499 0.2501 0.7499
Tm 0.5000 0.5000 0.0000
Tm 0.0000 0.0000 0.0000

***

! PBE-GGA UHN, optimized geometry; values from VASP
! **Mass density**: 10.1 g/cm3
! **Magnetic moment**: 1.99 μB/cell
! **Space group**: No. 156
! **Total DFT energy (no corrections)**: -8.1012 eV/atom
&SYSTEM
  ibrav = 0, nat = 3, ntyp = 3
/
ATOMIC_SPECIES
U 238.03 U.upf
N 14.01 N.upf
H 1.01 H.upf
CELL_PARAMETERS angstrom
-2.2223 1.5042 -2.2579
1.4318 -2.0164 -2.7525
-2.8626 -1.3006 1.9510
ATOMIC_POSITIONS crystal
U 0.1634 0.0000 0.0000
N 0.1661 0.3333 0.6667
H 0.6705 0.6667 0.3333

***

! PBE-GGA U2HN, optimized geometry; values from VASP
! **Mass density**: 14.7 g/cm3
! **Energy above the most stable polymorph in this dataset**: 0 meV per atom
! **Magnetic moment**: 3.37 μB/cell
! **Space group**: No. 166
&SYSTEM
  ibrav = 0, nat = 4, ntyp = 3
/
ATOMIC_SPECIES
U 238.03 U.upf
N 14.01 N.upf
H 1.01 H.upf
CELL_PARAMETERS angstrom
-0.3863 -2.1838 2.2567
2.0900 -2.3570 0.2949
4.0113 2.0443 4.8828
ATOMIC_POSITIONS crystal
U 0.7461 0.7461 0.7616
N 0.0000 0.0000 0.0000
U 0.2539 0.2539 0.2384
H 0.5000 0.5000 0.5000